(1)
First-principles (PBE) data for a relaxed Sc2OsRu crystal, as listed in Alexandria via LeMat-Bulk.

The space group is R-3m (No. 166, hexagonal axes) and the conventional cell measures 3.0734, 3.0734 and 24.9018 Å, with angles of 90.00, 90.00 and 120.00 degrees. The inequivalent atoms are Sc at (0.0000, 0.0000, 0.2490), Os at (0.0000, 0.0000, 0.0000) and Ru at (0.0000, 0.0000, 0.5000).

The total DFT energy (no corrections) is -8.41 eV/atom.

=====

(2)
First-principles (PBE) data for a relaxed La5Cd2Tc crystal, as listed in Alexandria via LeMat-Bulk.

The space group is Pbam (No. 55) and the conventional cell measures 8.183, 12.319 and 4.995 Å, with angles of 90.00, 90.00 and 90.00 degrees. The inequivalent atoms are La at (0.000, 0.000, 0.000), La at (0.134, 0.301, 0.000), La at (0.186, 0.568, 0.500), Cd at (0.080, 0.833, 0.500) and Tc at (0.000, 0.500, 0.000).

The total DFT energy (no corrections) is -4.76 eV/atom.

=====

(3)
First-principles (PBE) data for a relaxed ZrTiBe17 crystal, as listed in Alexandria via LeMat-Bulk.

The space group is R3m (No. 160, hexagonal axes) and the conventional cell measures 7.4303, 7.4303 and 10.8617 Å, with angles of 90.00, 90.00 and 120.00 degrees. The inequivalent atoms are Zr at (0.0000, 0.0000, 0.0000), Ti at (0.0000, 0.0000, 0.6735), Be at (0.0000, 0.0000, 0.2424), Be at (0.0000, 0.0000, 0.4369), Be at (0.0002, 0.5001, 0.1810), Be at (0.0002, 0.5001, 0.8375), Be at (0.0026, 0.2920, 0.3377) and Be at (0.0055, 0.5028, 0.4939).

The total DFT energy (no corrections) is -4.42 eV/atom.

=====

(4)
First-principles (PBE) data for a relaxed TbCeRuAu crystal, as listed in Alexandria via LeMat-Bulk.

The space group is F-43m (No. 216) and the conventional cell measures 7.095, 7.095 and 7.095 Å, with angles of 90.00, 90.00 and 90.00 degrees. The inequivalent atoms are Tb at (0.000, 0.000, 0.000), Ce at (0.000, 0.000, 0.500), Ru at (0.250, 0.250, 0.750) and Au at (0.250, 0.250, 0.250).

The total DFT energy (no corrections) is -6.24 eV/atom.

=====

For reference, ΔH_f (0 K) by record: -11.5; -15.1; -21.3; -44.8 kJ/mol of atoms.